Entry 1:
A plane-wave DFT calculation with GGA-PBE was carried out for crystalline SrHfO3 at its relaxed geometry.

abc: 5.642 5.642 6.243
angles: 63.14 63.14 60.00
Atoms (fractional coordinates):
Sr: 0.633 0.633 0.100
Sr: 0.367 0.367 0.900
O: 0.184 0.979 0.278
O: 0.558 0.184 0.278
O: 0.979 0.558 0.278
O: 0.021 0.442 0.722
O: 0.816 0.021 0.722
O: 0.442 0.816 0.722
Hf: 0.846 0.846 0.463
Hf: 0.154 0.154 0.537

ρ = 7.105 Mg/m³
Symmetry = R-3, No. 148



Entry 2:
A plane-wave DFT calculation with GGA-PBE was carried out for crystalline Sr2HfO4 at its relaxed geometry.

abc: 6.884 6.884 6.884
angles: 120.00 90.00 120.00
Atoms (fractional coordinates):
Sr: 0.375 0.750 0.125
Sr: 0.875 0.250 0.625
Sr: 0.375 0.750 0.625
Sr: 0.375 0.250 0.625
Hf: 0.000 0.000 0.000
Hf: 0.750 0.500 0.250
O: 0.647 0.765 0.882
O: 0.118 0.235 0.882
O: 0.118 0.765 0.882
O: 0.118 0.235 0.353
O: 0.632 0.265 0.368
O: 0.103 0.735 0.368
O: 0.632 0.265 0.897
O: 0.632 0.735 0.368

ρ = 6.014 Mg/m³
Symmetry = Fd-3m, No. 227



Entry 3:
A plane-wave DFT calculation with GGA-PBE was carried out for crystalline SrHf7O15 at its relaxed geometry.

abc: 7.320 7.340 10.202
angles: 88.37 88.32 89.99
Atoms (fractional coordinates):
O: 0.024 0.468 0.871
O: 0.214 0.247 0.110
O: 0.470 0.023 0.618
O: 0.803 0.238 0.117
O: 0.529 0.476 0.617
O: 0.769 0.771 0.599
O: 0.569 0.554 0.117
O: 0.453 0.042 0.884
O: 0.471 0.524 0.383
O: 0.751 0.198 0.639
O: 0.769 0.284 0.389
O: 0.431 0.446 0.883
O: 0.231 0.229 0.401
O: 0.530 0.977 0.382
O: 0.034 0.081 0.894
O: 0.197 0.762 0.883
O: 0.786 0.753 0.890
O: 0.976 0.532 0.129
O: 0.757 0.710 0.334
O: 0.966 0.919 0.106
O: 0.231 0.716 0.611
O: 0.249 0.802 0.361
O: 0.966 0.005 0.361
O: 0.243 0.290 0.666
O: 0.045 0.509 0.375
O: 0.547 0.958 0.116
O: 0.034 0.995 0.639
O: 0.955 0.491 0.625
O: 0.264 0.736 0.126
O: 0.736 0.264 0.874
Hf: 0.236 0.979 0.006
Hf: 0.495 0.754 0.256
Hf: 0.003 0.272 0.267
Hf: 0.741 0.522 0.487
Hf: 0.997 0.728 0.733
Hf: 0.745 0.012 0.496
Hf: 0.982 0.245 0.740
Hf: 0.505 0.246 0.744
Hf: 0.018 0.755 0.260
Hf: 0.764 0.021 0.994
Hf: 0.773 0.483 0.000
Hf: 0.255 0.988 0.504
Hf: 0.259 0.478 0.513
Hf: 0.227 0.517 0.000
Sr: 0.505 0.254 0.242
Sr: 0.495 0.746 0.758

ρ = 9.562 Mg/m³
Symmetry = P-1, No. 2



Entry 4:
A plane-wave DFT calculation with GGA-PBE was carried out for crystalline SrHfO3 at its relaxed geometry.

abc: 4.094 4.094 4.127
angles: 90.00 90.00 90.00
Atoms (fractional coordinates):
O: 0.500 0.000 0.597
O: 0.500 0.500 0.082
O: 0.000 0.500 0.597
Hf: 0.500 0.500 0.573
Sr: 0.000 0.000 0.052

ρ = 7.538 Mg/m³
Symmetry = P4mm, No. 99



Entry 5:
A plane-wave DFT calculation with GGA-PBE was carried out for crystalline SrHf7O15 at its relaxed geometry.

abc: 7.150 7.421 10.338
angles: 86.05 89.38 89.53
Atoms (fractional coordinates):
Hf: 0.632 0.630 0.904
Hf: 0.890 0.882 0.125
Hf: 0.630 0.166 0.388
Hf: 0.133 0.110 0.370
Hf: 0.410 0.405 0.664
Hf: 0.370 0.351 0.116
Hf: 0.866 0.352 0.627
Hf: 0.386 0.908 0.619
Hf: 0.375 0.886 0.127
Hf: 0.135 0.641 0.908
Hf: 0.636 0.631 0.404
Hf: 0.881 0.842 0.652
Hf: 0.877 0.349 0.126
Hf: 0.635 0.142 0.889
O: 0.132 0.863 0.009
O: 0.668 0.392 0.771
O: 0.828 0.104 0.246
O: 0.390 0.130 0.004
O: 0.629 0.367 0.011
O: 0.435 0.132 0.738
O: 0.428 0.124 0.246
O: 0.402 0.647 0.549
O: 0.838 0.728 0.288
O: 0.872 0.619 0.051
O: 0.598 0.811 0.747
O: 0.133 0.923 0.236
O: 0.609 0.370 0.517
O: 0.132 0.373 0.669
O: 0.132 0.358 0.251
O: 0.843 0.093 0.734
O: 0.645 0.417 0.267
O: 0.915 0.229 0.463
O: 0.874 0.134 0.006
O: 0.442 0.749 0.293
O: 0.126 0.385 0.006
O: 0.894 0.647 0.806
O: 0.372 0.536 0.827
O: 0.859 0.614 0.546
O: 0.660 0.922 0.502
O: 0.388 0.627 0.056
O: 0.169 0.841 0.748
O: 0.357 0.140 0.487
O: 0.635 0.880 0.008
O: 0.096 0.905 0.512
Sr: 0.135 0.132 0.857
Sr: 0.134 0.633 0.390

ρ = 9.572 Mg/m³
Symmetry = P1, No. 1



Entry 6:
A plane-wave DFT calculation with GGA-PBE was carried out for crystalline HfTa2O4 at its relaxed geometry.

abc: 6.300 6.300 6.300
angles: 119.99 90.02 119.99
Atoms (fractional coordinates):
O: 0.623 0.247 0.376
O: 0.624 0.247 0.870
O: 0.126 0.253 0.380
O: 0.126 0.747 0.873
O: 0.127 0.253 0.874
O: 0.620 0.747 0.874
O: 0.130 0.753 0.376
O: 0.624 0.753 0.377
Ta: 0.875 0.250 0.625
Ta: 0.375 0.750 0.625
Ta: 0.375 0.250 0.625
Ta: 0.375 0.750 0.125
Hf: 0.000 0.000 0.000
Hf: 0.750 0.500 0.250

ρ = 11.349 Mg/m³
Symmetry = Fd-3m, No. 227



Entry 7:
A plane-wave DFT calculation with GGA-PBE was carried out for crystalline Tb2HfO4 at its relaxed geometry.

abc: 6.652 6.652 6.652
angles: 119.99 90.01 119.99
Atoms (fractional coordinates):
O: 0.636 0.757 0.879
O: 0.114 0.743 0.371
O: 0.629 0.257 0.886
O: 0.629 0.257 0.371
O: 0.121 0.757 0.879
O: 0.121 0.243 0.364
O: 0.121 0.243 0.879
O: 0.629 0.743 0.371
Hf: 0.750 0.500 0.250
Hf: 0.000 0.000 0.000
Tb: 0.375 0.750 0.625
Tb: 0.375 0.750 0.125
Tb: 0.875 0.250 0.625
Tb: 0.375 0.250 0.625

ρ = 8.940 Mg/m³
Symmetry = Fd-3m, No. 227



Entry 8:
A plane-wave DFT calculation with GGA-PBE was carried out for crystalline TbHfO3 at its relaxed geometry.

abc: 5.501 5.501 5.883
angles: 62.12 62.12 60.00
Atoms (fractional coordinates):
O: 0.431 0.822 0.766
O: 0.178 0.018 0.234
O: 0.569 0.178 0.234
O: 0.982 0.431 0.766
O: 0.018 0.569 0.234
O: 0.822 0.982 0.766
Tb: 0.624 0.624 0.129
Tb: 0.376 0.376 0.871
Hf: 0.154 0.154 0.538
Hf: 0.846 0.846 0.462

ρ = 9.863 Mg/m³
Symmetry = R-3, No. 148



Entry 9:
A plane-wave DFT calculation with GGA-PBE was carried out for crystalline HfTcO3 at its relaxed geometry.

abc: 3.885 3.885 3.885
angles: 90.00 90.00 90.00
Site moments in Bohr magnetons follow the coordinates.
Atoms (fractional coordinates):
Tc: 0.500 0.500 0.500  0.69
O: 0.000 0.500 0.500  0.09
O: 0.500 0.500 0.000  0.01
O: 0.500 0.000 0.500  0.03
Hf: 0.000 0.000 0.000  0.09

ρ = 9.188 Mg/m³
Symmetry = Pm-3m, No. 221



Entry 10:
A plane-wave DFT calculation with GGA-PBE was carried out for crystalline HfTc2O4 at its relaxed geometry.

abc: 6.234 6.234 6.234
angles: 119.99 90.02 119.99
Site moments in Bohr magnetons follow the coordinates.
Atoms (fractional coordinates):
O: 0.621 0.758 0.379  0.02
O: 0.129 0.258 0.387  0.02
O: 0.129 0.258 0.871  0.02
O: 0.621 0.242 0.863  0.02
O: 0.137 0.758 0.379  0.02
O: 0.613 0.742 0.871  0.02
O: 0.621 0.242 0.379  0.02
O: 0.129 0.742 0.871  0.02
Tc: 0.375 0.750 0.125  1.17
Tc: 0.375 0.250 0.625  0.99
Tc: 0.875 0.250 0.625  1.00
Tc: 0.375 0.750 0.625  1.20
Hf: 0.000 0.000 0.000  0.02
Hf: 0.750 0.500 0.250  0.02

ρ = 8.498 Mg/m³
Symmetry = Fd-3m, No. 227



Entry 11:
A plane-wave DFT calculation with GGA-PBE was carried out for crystalline HfTe2O4 at its relaxed geometry.

abc: 6.404 6.404 6.404
angles: 117.40 94.57 117.40
Atoms (fractional coordinates):
O: 0.745 0.184 0.929
O: 0.439 0.184 0.255
O: 0.745 0.816 0.561
O: 0.679 0.684 0.995
O: 0.005 0.684 0.689
O: 0.311 0.316 0.995
O: 0.005 0.316 0.321
O: 0.071 0.816 0.255
Hf: 0.750 0.500 0.250
Hf: 0.000 0.000 0.000
Te: 0.375 0.750 0.125
Te: 0.375 0.750 0.625
Te: 0.375 0.250 0.625
Te: 0.875 0.250 0.625

ρ = 8.591 Mg/m³
Symmetry = I4_1/amd, No. 141



Entry 12:
A plane-wave DFT calculation with GGA-PBE was carried out for crystalline HfTe3O8 at its relaxed geometry.

abc: 9.638 9.638 9.638
angles: 109.47 109.47 109.47
Atoms (fractional coordinates):
O: 0.978 0.543 0.300
O: 0.522 0.822 0.565
O: 0.822 0.565 0.522
O: 0.000 0.160 0.500
O: 0.200 0.743 0.678
O: 0.322 0.800 0.257
O: 0.743 0.678 0.200
O: 0.435 0.478 0.178
O: 0.840 0.500 0.000
O: 0.022 0.457 0.700
O: 0.757 0.957 0.935
O: 0.500 0.000 0.160
O: 0.565 0.522 0.822
O: 0.043 0.065 0.243
O: 0.457 0.700 0.022
O: 0.678 0.200 0.743
O: 0.800 0.257 0.322
O: 0.178 0.435 0.478
O: 0.000 0.840 0.500
O: 0.340 0.340 0.340
O: 0.957 0.935 0.757
O: 0.543 0.300 0.978
O: 0.700 0.022 0.457
O: 0.935 0.757 0.957
O: 0.660 0.660 0.660
O: 0.500 0.000 0.840
O: 0.257 0.322 0.800
O: 0.065 0.243 0.043
O: 0.300 0.978 0.543
O: 0.160 0.500 0.000
O: 0.478 0.178 0.435
O: 0.243 0.043 0.065
Te: 0.716 0.250 0.966
Te: 0.216 0.250 0.466
Te: 0.784 0.750 0.534
Te: 0.750 0.034 0.284
Te: 0.466 0.216 0.250
Te: 0.034 0.284 0.750
Te: 0.966 0.716 0.250
Te: 0.250 0.966 0.716
Te: 0.534 0.784 0.750
Te: 0.250 0.466 0.216
Te: 0.750 0.534 0.784
Te: 0.284 0.750 0.034
Hf: 0.500 0.500 0.000
Hf: 0.500 0.000 0.500
Hf: 0.000 0.000 0.000
Hf: 0.000 0.500 0.500

ρ = 6.644 Mg/m³
Symmetry = Ia-3, No. 206



Entry 13:
A plane-wave DFT calculation with GGA-PBE was carried out for crystalline Hf31TeO64 at its relaxed geometry.

abc: 10.195 10.347 10.555
angles: 90.00 99.42 90.06
Atoms (fractional coordinates):
O: 0.339 0.458 0.579
O: 0.153 0.244 0.012
O: 0.910 0.292 0.422
O: 0.410 0.207 0.172
O: 0.409 0.792 0.421
O: 0.153 0.746 0.010
O: 0.598 0.002 0.989
O: 0.910 0.707 0.673
O: 0.098 0.504 0.991
O: 0.153 0.253 0.262
O: 0.405 0.211 0.672
O: 0.598 0.994 0.740
O: 0.598 0.495 0.242
O: 0.599 0.995 0.240
O: 0.410 0.293 0.922
O: 0.839 0.956 0.579
O: 0.099 0.496 0.241
O: 0.840 0.042 0.330
O: 0.909 0.791 0.422
O: 0.339 0.542 0.329
O: 0.843 0.459 0.078
O: 0.151 0.753 0.260
O: 0.097 0.996 0.740
O: 0.100 0.003 0.990
O: 0.341 0.957 0.078
O: 0.340 0.959 0.578
O: 0.098 0.496 0.740
O: 0.909 0.208 0.672
O: 0.599 0.504 0.488
O: 0.098 0.996 0.240
O: 0.841 0.958 0.079
O: 0.151 0.254 0.761
O: 0.652 0.753 0.260
O: 0.652 0.254 0.260
O: 0.339 0.042 0.828
O: 0.097 0.504 0.490
O: 0.097 0.004 0.490
O: 0.912 0.793 0.921
O: 0.910 0.707 0.171
O: 0.839 0.044 0.830
O: 0.594 0.511 0.998
O: 0.150 0.246 0.510
O: 0.152 0.754 0.760
O: 0.654 0.748 0.010
O: 0.644 0.246 0.751
O: 0.841 0.541 0.327
O: 0.339 0.543 0.829
O: 0.411 0.707 0.171
O: 0.338 0.456 0.080
O: 0.598 0.004 0.490
O: 0.652 0.754 0.760
O: 0.841 0.545 0.829
O: 0.410 0.292 0.422
O: 0.919 0.295 0.923
O: 0.911 0.209 0.171
O: 0.650 0.746 0.510
O: 0.340 0.041 0.329
O: 0.407 0.711 0.672
O: 0.648 0.241 0.014
O: 0.839 0.458 0.579
O: 0.590 0.504 0.731
O: 0.411 0.792 0.922
O: 0.652 0.246 0.508
O: 0.151 0.746 0.510
Hf: 0.513 0.354 0.104
Hf: 0.013 0.853 0.104
Hf: 0.236 0.896 0.396
Hf: 0.012 0.354 0.604
Hf: 0.514 0.854 0.103
Hf: 0.733 0.607 0.148
Hf: 0.236 0.604 0.646
Hf: 0.015 0.142 0.852
Hf: 0.013 0.646 0.354
Hf: 0.012 0.853 0.604
Hf: 0.514 0.645 0.853
Hf: 0.238 0.604 0.146
Hf: 0.239 0.895 0.896
Hf: 0.237 0.396 0.398
Hf: 0.737 0.103 0.147
Hf: 0.513 0.146 0.354
Hf: 0.013 0.146 0.355
Hf: 0.734 0.604 0.644
Hf: 0.513 0.146 0.853
Hf: 0.513 0.646 0.354
Hf: 0.736 0.896 0.397
Hf: 0.512 0.854 0.604
Hf: 0.736 0.395 0.396
Hf: 0.236 0.104 0.646
Hf: 0.017 0.648 0.855
Hf: 0.022 0.352 0.109
Hf: 0.238 0.102 0.147
Hf: 0.514 0.354 0.605
Hf: 0.736 0.896 0.895
Hf: 0.237 0.396 0.896
Hf: 0.735 0.105 0.645
Te: 0.751 0.396 0.904

ρ = 10.107 Mg/m³
Symmetry = P1, No. 1



| no. | E_tot (eV for the cell shown) | total moment (μB/f.u.) |
| --- | --- | --- |
| 1 | -86.282 | 0.000 |
| 2 | -108.932 | 0.000 |
| 3 | -449.961 | 0.003 |
| 4 | -43.297 | 0.001 |
| 5 | -449.658 | 0.004 |
| 6 | -133.450 | 0.116 |
| 7 | -120.130 | 0.007 |
| 8 | -90.824 | 0.001 |
| 9 | -40.201 | 1.020 |
| 10 | -119.810 | 2.469 |
| 11 | -91.539 | 0.000 |
| 12 | -315.947 | 0.000 |
| 13 | -961.639 | 0.002 |